A plane-wave DFT calculation with GGA-PBE was carried out for crystalline Nb6Al10V at its relaxed geometry.

Unit cell a=7.8688 b=7.8688 c=5.3709 alpha=90.00 beta=90.00 gamma=120.00
Space group P-31m (No. 162)
Asymmetric unit:
Nb (0.0000, 0.3801, 0.2984) x6
Al (0.0000, 0.2610, 0.8121) x6
Al (0.3333, 0.6667, 0.0000) x2
Al (0.3333, 0.6667, 0.5000) x2
V (0.0000, 0.0000, 0.5000) x1

Output
The total energy is -0.46706 Ry per atom.

---

A plane-wave DFT calculation with GGA-PBE was carried out for crystalline CeYRh at its relaxed geometry.

Unit cell a=6.8630 b=6.8630 c=6.8630 alpha=90.00 beta=90.00 gamma=90.00
Space group F-43m (No. 216)
Asymmetric unit:
Ce (0.0000, 0.0000, 0.0000) x4
Y (0.0000, 0.0000, 0.5000) x4
Rh (0.2500, 0.2500, 0.7500) x4

Output
The excess energy over the best structure of this formula in the dataset is 2.952 kcal/mol of atoms. The total energy is -0.51341 Ry per atom.

---

Formation enthalpy at 0 K across the listed records, respectively: -1.07; -1.21 eV/f.u..
Fermi-level density of states across the listed records, respectively: 14.66; 33.29 states/eV/cell.
Total magnetization across the listed records, respectively: 0.000; 0.394 μB/atom.